[1]
Material: BaSn2Pd5
Method: DFT, PBE-GGA
State: optimized geometry

```
8
Lattice="-2.0885 3.7227 5.4572 2.0885 -3.7227 5.4572 2.0885 3.7227 -5.4572" Properties=species:S:1:pos:R:3 pbc="T T T"
Ba 0.0000 0.0000 0.0000
Sn 2.0885 0.0000 2.8190
Sn 0.0000 3.7227 2.6382
Pd 2.0885 2.3179 -1.5126
Pd 2.0885 2.3179 1.5126
Pd 0.0000 3.7227 0.0000
Pd 0.0000 1.4048 3.9446
Pd 0.0000 1.4048 6.9698
```

Output
symmetry	Immm (71)
E_form	-524	meV/atom
VASP energy	-40.1	eV per cell



[2]
Material: K2TiNi2Se4
Method: DFT, PBE-GGA
State: optimized geometry

```
9
Lattice="7.0003 -1.8877 0.0000 7.0003 1.8877 0.0000 -2.3780 0.0000 7.4803" Properties=species:S:1:pos:R:3 pbc="T T T"
K 1.7206 0.0000 0.4599
K 9.9019 0.0000 7.0204
Ti -1.1890 0.0000 3.7402
Ni 3.2562 0.0000 3.8303
Ni 8.3664 0.0000 3.6501
Se 1.1263 0.0000 5.0332
Se 5.0549 0.0000 5.4031
Se 6.5677 0.0000 2.0772
Se 10.4963 0.0000 2.4471
```

Output
symmetry	C2/m (12)
VASP energy	-43.2	eV per cell
formation energy from raw total energies	-82.02	kJ/mol of atoms



[3]
Material: Mg5In3Sn3
Method: DFT, PBE-GGA
State: optimized geometry

```
11
Lattice="7.8325 -4.5493 0.0000 7.8325 4.5493 0.0000 -0.0256 0.0000 4.5483" Properties=species:S:1:pos:R:3 pbc="T T T"
Mg 0.0000 0.0000 0.0000
Mg 6.1896 1.7298 4.4784
Mg 9.4499 1.7298 0.0700
Mg 5.2274 -1.9093 0.0430
Mg 10.4120 -1.9093 4.5053
In 4.5342 0.7276 2.2063
In 11.1053 0.7276 2.3420
In 7.8197 -2.5939 2.2742
Sn 2.8839 -0.2140 4.4619
Sn 7.8325 -0.6973 0.0000
Sn 12.7556 -0.2140 0.0864
```

Output
symmetry	C2 (5)
E_form	92	meV/atom
VASP energy	-27.2	eV per cell



[4]
Material: SrIrPt2
Method: DFT, PBE-GGA
State: optimized geometry

```
4
Lattice="2.9066 0.0000 0.0000 0.0000 4.0032 0.0000 0.0000 0.0000 6.6569" Properties=species:S:1:pos:R:3 pbc="T T T"
Sr 0.0000 0.0000 0.0000
Ir 1.4533 2.0016 2.1063
Pt 0.0000 0.0000 3.1723
Pt 1.4533 2.0016 4.7457
```

Output
symmetry	Pmm2 (25)
E_form	12	meV/atom
VASP energy	-22.6	eV per cell
excess energy over the best structure of this formula in the dataset	106.9	meV per atom



[5]
Material: GePt4Pb
Method: DFT, PBE-GGA
State: optimized geometry

```
12
Lattice="7.2728 -2.1747 0.0000 7.2728 2.1747 0.0000 -0.9650 0.0000 7.0840" Properties=species:S:1:pos:R:3 pbc="T T T"
Ge 3.6364 1.0874 0.0000
Ge 3.1539 -1.0874 3.5420
Pt 6.0175 1.5154 0.4386
Pt 4.1034 0.9996 2.4874
Pt 8.0456 1.5154 3.1034
Pt 9.9598 0.9996 1.0546
Pt 3.6209 -0.9996 6.0295
Pt 5.5350 -1.5154 3.9806
Pt 9.4773 -0.9996 4.5966
Pt 7.5631 -1.5154 6.6454
Pb 6.5491 0.6364 5.3130
Pb 7.0316 -0.6364 1.7710
```

Output
symmetry	C2/c (15)
E_form	-191	meV/atom
VASP energy	-67.3	eV per cell



[6]
Material: Ce2Nd3PuS6
Method: DFT, PBE-GGA
State: optimized geometry

```
12
Lattice="3.4944 -6.0545 0.0000 3.4944 6.0545 0.0000 -2.3294 0.0000 6.5928" Properties=species:S:1:pos:R:3 pbc="T T T"
Ce 3.4944 4.0401 0.0000
Ce 3.4944 -4.0401 0.0000
Nd -1.1647 0.0000 3.2964
Nd 2.3297 2.0221 3.2964
Nd 2.3297 -2.0221 3.2964
Pu 3.4944 0.0000 0.0000
S 0.0120 1.9999 4.9854
S 1.1891 0.0000 1.6115
S 0.0120 -1.9999 4.9854
S 4.6474 1.9999 1.6075
S 3.4703 0.0000 4.9813
S 4.6474 -1.9999 1.6075
```

Output
symmetry	C2/m (12)
VASP energy	-89.3	eV per cell
formation energy from raw total energies	-193.10	kJ/mol of atoms



[7]
Material: MnBe3Tl
Method: DFT, PBE-GGA
State: optimized geometry

```
5
Lattice="4.5114 0.0000 0.0000 0.0000 4.5114 0.0000 0.0000 0.0000 4.5114" Properties=species:S:1:pos:R:3 pbc="T T T"
Mn 0.0000 0.0000 0.0000
Be 0.0000 2.2557 2.2557
Be 2.2557 0.0000 2.2557
Be 2.2557 2.2557 0.0000
Tl 2.2557 2.2557 2.2557
```

Output
symmetry	Pm-3m (221)
E_form	1424	meV/atom
VASP energy	-15.6	eV per cell
excess energy over the best structure of this formula in the dataset	478.8	meV per atom



[8]
Material: MnCr2Pd
Method: DFT, PBE-GGA
State: optimized geometry

```
8
Lattice="-1.7691 1.7691 9.0089 1.7691 -1.7691 9.0089 1.7691 1.7691 -9.0089" Properties=species:S:1:pos:R:3 pbc="T T T"
Mn 0.0000 0.0000 0.0000
Mn 0.0000 1.7691 4.5045
Cr 2.6537 0.7249 -2.2522
Cr 0.7249 0.8846 2.2522
Cr -0.8846 1.0442 6.7567
Cr 1.0442 0.8846 11.2611
Pd 1.7691 0.0000 4.5045
Pd 0.0000 0.0000 9.0089
```

Output
symmetry	I-42d (122)
E_form	588	meV/atom
VASP energy	-62.5	eV per cell
excess energy over the best structure of this formula in the dataset	169.6	meV per atom